(1)
I: optimized geometry, GGA-PBE.

abc: 7.092 7.092 9.264
angles: 90.00 90.00 111.43
Fractional coordinates of all 8 atoms:
I  0.060  0.940  0.750
I  0.190  0.810  0.251
I  0.310  0.690  0.751
I  0.440  0.560  0.250
I  0.560  0.440  0.750
I  0.690  0.310  0.249
I  0.810  0.190  0.749
I  0.940  0.060  0.250

Properties
Formation energy without anion corrections   0.097 eV per atom
V   54.2 Å³ per atom
Magnetization   0.00 Bohr magnetons per cell
Electronic total energy   -0.0534 Ha/atom

(2)
Tb3Ga7Cu2: optimized geometry, GGA-PBE.

abc: 4.195 4.191 13.225
angles: 90.00 99.04 90.00
Fractional coordinates of all 12 atoms:
Tb  0.000  0.000  0.000
Tb  0.316  0.500  0.632
Tb  0.684  0.500  0.368
Ga  0.082  0.500  0.169
Ga  0.224  0.000  0.449
Ga  0.416  0.000  0.830
Ga  0.500  0.500  0.000
Ga  0.584  0.000  0.170
Ga  0.776  0.000  0.551
Ga  0.918  0.500  0.831
Cu  0.132  0.000  0.266
Cu  0.868  0.000  0.734

Properties
V   19.1 Å³ per atom
Formation energy   -0.523 eV per atom
Magnetization   0.00 Bohr magnetons per cell
Electronic total energy   -0.1517 Ha/atom

(3)
Zn2SbCl: optimized geometry, GGA-PBE.

abc: 5.403 5.403 3.382
angles: 103.74 103.74 88.90
Fractional coordinates of all 4 atoms:
Zn  0.000  0.500  0.000
Zn  0.500  0.000  0.000
Sb  0.000  0.000  0.000
Cl  0.500  0.500  0.000

Properties
Formation energy without anion corrections   -0.162 eV per atom
V   23.3 Å³ per atom
Magnetization   0.00 Bohr magnetons per cell
Electronic total energy   -0.0842 Ha/atom

(4)
CrBr2Cl: optimized geometry, GGA-PBE.

abc: 6.987 6.987 6.987
angles: 96.95 96.95 139.30
Fractional coordinates of all 8 atoms:
Cr  0.000  0.000  0.000
Cr  0.750  0.250  0.500
Br  0.375  0.230  0.355
Br  0.770  0.125  0.145
Br  0.875  0.020  0.645
Br  0.980  0.625  0.855
Cl  0.250  0.750  0.500
Cl  0.500  0.500  0.000

Properties
Formation energy without anion corrections   -0.494 eV per atom
V   26.1 Å³ per atom
Magnetization   6.00 Bohr magnetons per cell
Electronic total energy   -0.1543 Ha/atom

(5)
NdNF5: optimized geometry, GGA-PBE.

abc: 7.201 7.201 5.929
angles: 113.84 113.84 107.56
Fractional coordinates of all 14 atoms:
Nd  0.100  0.900  0.750
Nd  0.900  0.100  0.250
N  0.000  0.500  0.000
N  0.500  0.000  0.500
F  0.009  0.505  0.710
F  0.173  0.827  0.250
F  0.208  0.211  0.203
F  0.211  0.208  0.703
F  0.495  0.991  0.790
F  0.505  0.009  0.210
F  0.789  0.792  0.297
F  0.792  0.789  0.797
F  0.827  0.173  0.750
F  0.991  0.495  0.290

Properties
Formation energy without anion corrections   -1.922 eV per atom
V   15.3 Å³ per atom
Magnetization   2.06 Bohr magnetons per cell
Electronic total energy   -0.1885 Ha/atom

(6)
KScIr: optimized geometry, GGA-PBE.

abc: 4.753 4.753 4.753
angles: 60.00 60.00 60.00
Fractional coordinates of all 3 atoms:
K  0.000  0.000  0.000
Sc  0.500  0.500  0.500
Ir  0.750  0.750  0.750

Properties
V   25.3 Å³ per atom
Formation energy   0.431 eV per atom
Magnetization   0.00 Bohr magnetons per cell
Electronic total energy   -0.1837 Ha/atom

(7)
PmErAl: optimized geometry, GGA-PBE.

abc: 7.190 7.190 4.913
angles: 90.00 90.00 140.00
Fractional coordinates of all 6 atoms:
Pm  0.100  0.900  0.750
Pm  0.900  0.100  0.250
Er  0.397  0.603  0.750
Er  0.603  0.397  0.250
Al  0.251  0.749  0.250
Al  0.749  0.251  0.750

Properties
V   27.2 Å³ per atom
Formation energy   -0.229 eV per atom
Magnetization   0.00 Bohr magnetons per cell
Electronic total energy   -0.1683 Ha/atom

(8)
TbNdPu2Sb4: optimized geometry, GGA-PBE.

abc: 7.679 4.453 7.710
angles: 90.00 109.47 90.00
Fractional coordinates of all 8 atoms:
Tb  0.000  0.000  0.000
Nd  0.000  0.500  0.500
Pu  0.500  0.000  0.500
Pu  0.500  0.500  0.000
Sb  0.252  0.500  0.247
Sb  0.255  0.000  0.756
Sb  0.745  0.000  0.244
Sb  0.748  0.500  0.753

Properties
Formation energy without anion corrections   -0.861 eV per atom
V   31.1 Å³ per atom
Magnetization   0.03 Bohr magnetons per cell
Electronic total energy   -0.2822 Ha/atom

(9)
CsLiGaBr3: optimized geometry, GGA-PBE.

abc: 8.478 8.478 7.514
angles: 96.75 96.75 126.82
Fractional coordinates of all 12 atoms:
Cs  0.247  0.753  0.750
Cs  0.753  0.247  0.250
Li  0.449  0.551  0.250
Li  0.551  0.449  0.750
Ga  0.071  0.929  0.250
Ga  0.929  0.071  0.750
Br  0.222  0.317  0.509
Br  0.280  0.720  0.250
Br  0.317  0.222  0.009
Br  0.683  0.778  0.991
Br  0.720  0.280  0.750
Br  0.778  0.683  0.491

Properties
Formation energy without anion corrections   -1.266 eV per atom
V   34.8 Å³ per atom
Magnetization   0.00 Bohr magnetons per cell
Electronic total energy   -0.1127 Ha/atom

(10)
Ta2InCl: optimized geometry, GGA-PBE.

abc: 5.654 5.654 5.403
angles: 118.48 118.48 30.28
Fractional coordinates of all 4 atoms:
Ta  0.222  0.222  0.222
Ta  0.778  0.778  0.778
In  0.000  0.000  0.500
Cl  0.500  0.500  0.000

Properties
Formation energy without anion corrections   0.282 eV per atom
V   18.9 Å³ per atom
Magnetization   0.00 Bohr magnetons per cell
Electronic total energy   -0.2495 Ha/atom

(11)
Co2RhAu: optimized geometry, GGA-PBE.

abc: 4.581 4.581 4.723
angles: 100.03 100.03 34.89
Fractional coordinates of all 4 atoms:
Co  0.246  0.246  0.220
Co  0.754  0.754  0.780
Rh  0.500  0.500  0.000
Au  0.000  0.000  0.500

Properties
V   13.9 Å³ per atom
Formation energy   0.199 eV per atom
Magnetization   4.44 Bohr magnetons per cell
Electronic total energy   -0.2209 Ha/atom

(12)
AcLa2Pr2Cd5: optimized geometry, GGA-PBE.

abc: 10.974 10.974 5.099
angles: 90.00 90.00 90.00
Fractional coordinates of all 20 atoms:
Ac  0.000  0.000  0.000
Ac  0.500  0.500  0.000
La  0.177  0.323  0.000
La  0.323  0.823  0.000
La  0.677  0.177  0.000
La  0.823  0.677  0.000
Pr  0.123  0.623  0.000
Pr  0.377  0.123  0.000
Pr  0.623  0.877  0.000
Pr  0.877  0.377  0.000
Cd  0.000  0.500  0.500
Cd  0.071  0.800  0.500
Cd  0.200  0.071  0.500
Cd  0.300  0.571  0.500
Cd  0.429  0.300  0.500
Cd  0.500  0.000  0.500
Cd  0.571  0.700  0.500
Cd  0.700  0.429  0.500
Cd  0.800  0.929  0.500
Cd  0.929  0.200  0.500

Properties
V   30.7 Å³ per atom
Formation energy   -0.179 eV per atom
Magnetization   0.00 Bohr magnetons per cell
Electronic total energy   -0.1098 Ha/atom